(1)
{"formula": "LaAlNi2", "functional": "PBE-GGA", "state": "optimized geometry", "lattice_angstrom": [[3.286, -3.280, 0.000], [3.286, 3.280, 0.000], [-0.010, 0.000, 3.181]], "species": ["La", "Al", "Ni", "Ni"], "fractional_positions": [[0.000, 0.000, 0.000], [0.500, 0.500, 0.000], [0.000, 0.500, 0.500], [0.500, 0.000, 0.500]], "delta_e_f_ev_per_atom": -0.1839, "energy_ev_per_atom": -5.24, "dos_at_fermi_per_ev_cell": 2.6, "spacegroup": "No. 12", "m_tot_mub_per_atom": 0.0000}

(2)
{"formula": "Ba2MgAu", "functional": "PBE-GGA", "state": "optimized geometry", "lattice_angstrom": [[4.104, 0.000, 0.000], [0.000, 4.147, 0.000], [0.000, 0.000, 8.674]], "species": ["Ba", "Ba", "Mg", "Au"], "fractional_positions": [[0.000, 0.000, 0.223], [0.000, 0.000, 0.777], [0.500, 0.500, 0.500], [0.500, 0.500, 0.000]], "delta_e_f_ev_per_atom": -0.3573, "energy_ev_per_atom": -2.54, "dos_at_fermi_per_ev_cell": 4.9, "spacegroup": "No. 47", "m_tot_mub_per_atom": 0.0000}

(3)
{"formula": "Ta9Fe2S6", "functional": "PBE-GGA", "state": "optimized geometry", "lattice_angstrom": [[10.341, 0.000, 0.000], [-5.171, 8.956, 0.000], [0.000, 0.000, 3.330]], "species": ["Ta", "Ta", "Ta", "Ta", "Ta", "Ta", "Ta", "Ta", "Ta", "Fe", "Fe", "S", "S", "S", "S", "S", "S"], "fractional_positions": [[0.000, 0.458, 0.000], [0.201, 0.737, 0.500], [0.263, 0.464, 0.500], [0.458, 0.000, 0.000], [0.464, 0.263, 0.500], [0.536, 0.799, 0.500], [0.542, 0.542, 0.000], [0.737, 0.201, 0.500], [0.799, 0.536, 0.500], [0.333, 0.667, 0.000], [0.667, 0.333, 0.000], [0.000, 0.275, 0.500], [0.000, 0.704, 0.000], [0.275, 0.000, 0.500], [0.296, 0.296, 0.000], [0.704, 0.000, 0.000], [0.725, 0.725, 0.500]], "energy_ev_per_atom": -9.46, "dos_at_fermi_per_ev_cell": 13.4, "polymorph_energy_kj_per_mol_atoms": 2.11, "raw_formation_energy_ev_per_atom": -0.729, "spacegroup": "No. 189", "m_tot_mub_per_atom": 0.0003}

(4)
{"formula": "Tl8HgO6", "functional": "PBE-GGA", "state": "optimized geometry", "lattice_angstrom": [[5.250, 3.031, 3.614], [-5.250, 3.031, 3.614], [0.000, -6.062, 3.614]], "species": ["Tl", "Tl", "Tl", "Tl", "Tl", "Tl", "Tl", "Tl", "Hg", "O", "O", "O", "O", "O", "O"], "fractional_positions": [[0.107, 0.672, 0.335], [0.161, 0.161, 0.161], [0.328, 0.665, 0.893], [0.335, 0.107, 0.672], [0.665, 0.893, 0.328], [0.672, 0.335, 0.107], [0.839, 0.839, 0.839], [0.893, 0.328, 0.665], [0.500, 0.500, 0.500], [0.086, 0.816, 0.686], [0.184, 0.314, 0.914], [0.314, 0.914, 0.184], [0.686, 0.086, 0.816], [0.816, 0.686, 0.086], [0.914, 0.184, 0.314]], "energy_ev_per_atom": -3.72, "dos_at_fermi_per_ev_cell": 1.6, "raw_formation_energy_ev_per_atom": -0.452, "spacegroup": "No. 148", "m_tot_mub_per_atom": 0.0000}

(5)
{"formula": "Na3Tb3GeS8", "functional": "PBE-GGA", "state": "optimized geometry", "lattice_angstrom": [[3.922, 2.264, 6.752], [-3.922, 2.264, 6.752], [0.000, -4.529, 6.752]], "species": ["Na", "Na", "Na", "Tb", "Tb", "Tb", "Ge", "S", "S", "S", "S", "S", "S", "S", "S"], "fractional_positions": [[0.000, 0.500, 0.500], [0.500, 0.000, 0.500], [0.500, 0.500, 0.000], [0.000, 0.000, 0.500], [0.000, 0.500, 0.000], [0.500, 0.000, 0.000], [0.500, 0.500, 0.500], [0.242, 0.242, 0.242], [0.269, 0.721, 0.721], [0.279, 0.279, 0.731], [0.279, 0.731, 0.279], [0.721, 0.269, 0.721], [0.721, 0.721, 0.269], [0.731, 0.279, 0.279], [0.758, 0.758, 0.758]], "energy_ev_per_atom": -5.16, "dos_at_fermi_per_ev_cell": 0.3, "raw_formation_energy_ev_per_atom": -1.461, "spacegroup": "No. 166", "m_tot_mub_per_atom": 0.0000}

(6)
{"formula": "LiTbDyEr", "functional": "PBE-GGA", "state": "optimized geometry", "lattice_angstrom": [[0.000, 3.858, 3.858], [3.858, 0.000, 3.858], [3.858, 3.858, 0.000]], "species": ["Li", "Tb", "Dy", "Er"], "fractional_positions": [[0.000, 0.000, 0.000], [0.250, 0.250, 0.250], [0.750, 0.750, 0.750], [0.500, 0.500, 0.500]], "delta_e_f_ev_per_atom": 0.1699, "energy_ev_per_atom": -3.76, "dos_at_fermi_per_ev_cell": 3.2, "spacegroup": "No. 216", "m_tot_mub_per_atom": 0.0000}

(7)
{"formula": "Na3ZrTc", "functional": "PBE-GGA", "state": "optimized geometry", "lattice_angstrom": [[5.173, 0.000, 0.000], [0.000, 5.173, 0.000], [0.000, 0.000, 5.173]], "species": ["Na", "Na", "Na", "Zr", "Tc"], "fractional_positions": [[0.000, 0.000, 0.500], [0.000, 0.500, 0.000], [0.500, 0.000, 0.000], [0.500, 0.500, 0.500], [0.000, 0.000, 0.000]], "delta_e_f_ev_per_atom": 1.8628, "energy_ev_per_atom": -2.71, "dos_at_fermi_per_ev_cell": 18.3, "spacegroup": "No. 221", "m_tot_mub_per_atom": 0.0000}

(8)
{"formula": "NdTmCuRh", "functional": "PBE-GGA", "state": "optimized geometry", "lattice_angstrom": [[0.000, 3.489, 3.489], [3.489, 0.000, 3.489], [3.489, 3.489, 0.000]], "species": ["Nd", "Tm", "Cu", "Rh"], "fractional_positions": [[0.000, 0.000, 0.000], [0.500, 0.500, 0.500], [0.750, 0.750, 0.750], [0.250, 0.250, 0.250]], "delta_e_f_ev_per_atom": -0.4993, "energy_ev_per_atom": -5.67, "dos_at_fermi_per_ev_cell": 3.0, "polymorph_energy_kj_per_mol_atoms": 3.00, "spacegroup": "No. 216", "m_tot_mub_per_atom": 0.0000}

(9)
{"formula": "Ba2SnH6Au2", "functional": "PBE-GGA", "state": "optimized geometry", "lattice_angstrom": [[5.992, -2.526, 0.000], [5.992, 2.526, 0.000], [-3.799, 0.000, 6.224]], "species": ["Ba", "Ba", "Sn", "H", "H", "H", "H", "H", "H", "Au", "Au"], "fractional_positions": [[0.212, 0.212, 0.231], [0.788, 0.788, 0.769], [0.000, 0.000, 0.500], [0.136, 0.645, 0.156], [0.330, 0.330, 0.676], [0.355, 0.864, 0.844], [0.645, 0.136, 0.156], [0.670, 0.670, 0.324], [0.864, 0.355, 0.844], [0.494, 0.494, 0.772], [0.506, 0.506, 0.228]], "energy_ev_per_atom": -3.40, "dos_at_fermi_per_ev_cell": 1.2, "spacegroup": "No. 12", "m_tot_mub_per_atom": 0.0000}

(10)
{"formula": "Na6Tl2Cd3", "functional": "PBE-GGA", "state": "optimized geometry", "lattice_angstrom": [[-3.020, 3.020, 10.599], [3.020, -3.020, 10.599], [3.020, 3.020, -10.599]], "species": ["Na", "Na", "Na", "Na", "Na", "Na", "Tl", "Tl", "Cd", "Cd", "Cd"], "fractional_positions": [[0.088, 0.588, 0.500], [0.214, 0.214, 0.000], [0.412, 0.912, 0.500], [0.588, 0.088, 0.500], [0.786, 0.786, 0.000], [0.912, 0.412, 0.500], [0.068, 0.068, 0.000], [0.932, 0.932, 0.000], [0.359, 0.359, 0.000], [0.500, 0.500, 0.000], [0.641, 0.641, 0.000]], "delta_e_f_ev_per_atom": 0.0725, "energy_ev_per_atom": -1.33, "dos_at_fermi_per_ev_cell": 4.2, "polymorph_energy_kj_per_mol_atoms": 10.14, "spacegroup": "No. 139", "m_tot_mub_per_atom": 0.0000}

(11)
{"formula": "NaAcTmTl", "functional": "PBE-GGA", "state": "optimized geometry", "lattice_angstrom": [[0.000, 3.991, 3.991], [3.991, 0.000, 3.991], [3.991, 3.991, 0.000]], "species": ["Na", "Ac", "Tm", "Tl"], "fractional_positions": [[0.000, 0.000, 0.000], [0.750, 0.750, 0.750], [0.250, 0.250, 0.250], [0.500, 0.500, 0.500]], "delta_e_f_ev_per_atom": -0.0249, "energy_ev_per_atom": -3.09, "dos_at_fermi_per_ev_cell": 3.9, "spacegroup": "No. 216", "m_tot_mub_per_atom": 0.0000}

(12)
{"formula": "AsOsPb2", "functional": "PBE-GGA", "state": "optimized geometry", "lattice_angstrom": [[4.722, 0.000, 0.000], [0.885, 4.752, 0.000], [0.955, 1.598, 4.560]], "species": ["As", "Os", "Pb", "Pb"], "fractional_positions": [[0.000, 0.000, 0.000], [0.500, 0.000, 0.000], [0.312, 0.364, 0.364], [0.688, 0.636, 0.636]], "delta_e_f_ev_per_atom": 0.3956, "energy_ev_per_atom": -5.43, "dos_at_fermi_per_ev_cell": 2.0, "spacegroup": "No. 2", "m_tot_mub_per_atom": 0.0000}

(13)
{"formula": "K2YRe", "functional": "PBE-GGA", "state": "optimized geometry", "lattice_angstrom": [[-2.144, 2.144, 13.198], [2.144, -2.144, 13.198], [2.144, 2.144, -13.198]], "species": ["K", "K", "K", "K", "Y", "Y", "Re", "Re"], "fractional_positions": [[0.115, 0.625, 0.990], [0.375, 0.365, 0.490], [0.635, 0.125, 0.010], [0.875, 0.885, 0.510], [0.250, 0.750, 0.500], [0.500, 0.500, 0.000], [0.000, 0.000, 0.000], [0.750, 0.250, 0.500]], "delta_e_f_ev_per_atom": 1.2947, "energy_ev_per_atom": -3.98, "dos_at_fermi_per_ev_cell": 12.1, "polymorph_energy_kj_per_mol_atoms": 49.48, "spacegroup": "No. 122", "m_tot_mub_per_atom": 0.3625}

(14)
{"formula": "Th2FeGe3", "functional": "PBE-GGA", "state": "optimized geometry", "lattice_angstrom": [[0.000, 4.217, 7.220], [4.179, 0.000, 7.220], [4.179, 4.217, 0.000]], "species": ["Th", "Th", "Th", "Th", "Fe", "Fe", "Ge", "Ge", "Ge", "Ge", "Ge", "Ge"], "fractional_positions": [[0.242, 0.758, 0.758], [0.250, 0.250, 0.250], [0.750, 0.750, 0.750], [0.758, 0.242, 0.242], [0.163, 0.163, 0.837], [0.837, 0.837, 0.163], [0.157, 0.669, 0.331], [0.324, 0.324, 0.676], [0.331, 0.843, 0.157], [0.669, 0.157, 0.843], [0.676, 0.676, 0.324], [0.843, 0.331, 0.669]], "delta_e_f_ev_per_atom": -0.5926, "energy_ev_per_atom": -6.79, "dos_at_fermi_per_ev_cell": 9.2, "polymorph_energy_kj_per_mol_atoms": 0.00, "spacegroup": "No. 69", "m_tot_mub_per_atom": 0.0005}

(15)
{"formula": "K2CdF", "functional": "PBE-GGA", "state": "optimized geometry", "lattice_angstrom": [[1.932, 1.115, 9.198], [-1.932, 1.115, 9.198], [0.000, -2.231, 9.198]], "species": ["K", "K", "Cd", "F"], "fractional_positions": [[0.224, 0.224, 0.224], [0.776, 0.776, 0.776], [0.000, 0.000, 0.000], [0.500, 0.500, 0.500]], "energy_ev_per_atom": -2.54, "dos_at_fermi_per_ev_cell": 1.1, "polymorph_energy_kj_per_mol_atoms": 0.00, "raw_formation_energy_ev_per_atom": -1.295, "spacegroup": "No. 166", "m_tot_mub_per_atom": 0.0000}